SnI2BrO: optimized geometry, PBE.

a = 6.3083 Å, b = 6.3083 Å, c = 3.8410 Å
α = 90.00°, β = 90.00°, γ = 90.00°
Closest atoms and distances in Å follow each position.
Element x y z (fractional)
I 0.0000 0.5000 0.0000  2 Br 3.15
I 0.5000 0.0000 0.0000  2 Br 3.15
O 0.0000 0.0000 0.5000  2 Br 1.92
Sn 0.5000 0.5000 0.5000  8 I 3.69, 2 Sn 3.84
Br 0.0000 0.0000 0.0000  2 O 1.92

Output
Relative energy among the computed polymorphs   0.520 eV per atom
Density of states at the Fermi level   2.518 states/eV/cell

LaBeGaCu2: optimized geometry, PBE.

a = 5.2699 Å, b = 5.8481 Å, c = 5.2699 Å
α = 90.00°, β = 90.00°, γ = 90.00°
Closest atoms and distances in Å follow each position.
Element x y z (fractional)
Be 0.5000 0.5000 0.5000  4 Ga 3.73, 8 Cu 3.94
Cu 0.0000 0.0000 0.5000  2 La 2.63
Cu 0.5000 0.0000 0.0000  2 La 2.63
Ga 0.0000 0.5000 0.0000  2 La 2.92
La 0.0000 0.0000 0.0000  4 Cu 2.63, 2 Ga 2.92

Output
E_form   7.6 eV per formula unit
Density of states at the Fermi level   3.321 states/eV/cell